Al2CoBr, optimized geometry, DFT PBE; energy = -50.2 eV per cell; formation energy without anion corrections = -0.467 eV/f.u.; ΔE to the lowest computed polymorph = 0.0949 eV per atom
1.0
3.218 0.000 0.000
-1.609 2.787 0.000
0.000 0.000 22.524
Al Co Br
6 3 3
Cartesian
0.000 0.000 5.292
0.000 0.000 17.232
0.000 1.858 9.724
0.000 1.858 20.308
1.609 0.929 2.216
1.609 0.929 12.800
0.000 0.000 11.262
0.000 1.858 3.754
1.609 0.929 18.770
0.000 0.000 0.000
0.000 1.858 15.016
1.609 0.929 7.508